# Mn2AlFeO4 (PBE+U, relaxed)
# - Final energy: -232.04 eV per cell
data_Mn2AlFeO4
_chemical_formula_sum 'Mn8 Al4 Fe4 O16'
_space_group_name_H-M_alt 'F m m 2'
_space_group_IT_number 42
_space_group_name_Hall 'F 2 -2'
_cell_length_a 6.671
_cell_length_b 6.720
_cell_length_c 9.350
_cell_angle_alpha 90.00
_cell_angle_beta 90.00
_cell_angle_gamma 90.00
loop_
_atom_site_label
_atom_site_type_symbol
_atom_site_fract_x
_atom_site_fract_y
_atom_site_fract_z
Mn1 Mn 0.250 0.250 0.000
Al1 Al 0.000 0.000 0.253
Fe1 Fe 0.000 0.000 0.713
O1 O 0.000 0.215 0.140
O2 O 0.225 0.000 0.359